DFT (PBE-GGA) results for a geometry-optimized ReSO3 structure.

Cell and atoms, written as POSCAR:
```
ReSO3
1.0
3.880 0.000 0.000
0.000 3.880 0.000
0.000 0.000 3.880
Re S O
1 1 3
Direct
0.000 0.000 0.000
0.500 0.500 0.500
0.000 0.000 0.500
0.000 0.500 0.000
0.500 0.000 0.000
```

Values from the calculation:
- final energy (eV/f.u.) = -33.6
- calculated volume (Å³ per cell) = 58
- raw formation energy (eV/atom) = -0.421
- total magnetic moment (μB per formula unit) = 2.21
- crystal system = cubic